Entry from Alexandria: an optimized crystal structure of CaBiTe2 (GGA-PBE).

abc: 6.5567 5.3504 18.4638
angles: 90.00 90.00 90.00
Closest atoms and distances in Å follow each position.
Space group Pnma (No. 62)
Asymmetric unit:
Ca1 0.1794 0.2500 0.0297 [4 per cell]  4 Te 3.14-3.32
Bi1 0.1724 0.7500 0.3421 [4 per cell]  3 Te 2.96-3.04
Te1 0.1094 0.7500 0.1180 [4 per cell]  1 Bi 2.96, 2 Ca 3.17
Te2 0.1357 0.2500 0.4194 [4 per cell]  2 Bi 3.04, 1 Ca 3.14

Output
E (Ry per atom): -0.27258
Spin magnetization (μB per formula unit): 0.0
Uncorrected formation energy (eV per atom): -0.667